# 1
A relaxed Pm8CdGa2 crystal. Source: Alexandria, functional PBE-GGA.

Cell: 8.645 8.645 8.595 Å, 118.43 118.43 36.09°
Sites, in units of the cell vectors:
Pm 0.067 0.067 0.221
Pm 0.144 0.144 0.706
Pm 0.317 0.317 0.542
Pm 0.396 0.396 0.046
Pm 0.604 0.604 0.954
Pm 0.683 0.683 0.458
Pm 0.856 0.856 0.294
Pm 0.933 0.933 0.779
Cd 0.500 0.500 0.500
Ga 0.225 0.225 0.128
Ga 0.775 0.775 0.872

Energy above the lowest structure with this stoichiometry (meV/atom): 0


# 2
A relaxed Pm4CdGa2 crystal. Source: Alexandria, functional PBE-GGA.

Cell: 8.846 8.846 8.846 Å, 34.23 34.23 34.23°
Sites, in units of the cell vectors:
Pm 0.116 0.116 0.116
Pm 0.369 0.369 0.369
Pm 0.631 0.631 0.631
Pm 0.884 0.884 0.884
Cd 0.500 0.500 0.500
Ga 0.246 0.246 0.246
Ga 0.754 0.754 0.754


# 3
A relaxed Pm2Cd16Ga crystal. Source: Alexandria, functional PBE-GGA.

Cell: 7.647 7.647 7.647 Å, 82.80 82.80 82.80°
Sites, in units of the cell vectors:
Pm 0.000 0.000 0.000
Pm 0.355 0.355 0.355
Cd 0.012 0.012 0.555
Cd 0.012 0.555 0.012
Cd 0.210 0.657 0.657
Cd 0.302 0.302 0.903
Cd 0.302 0.903 0.302
Cd 0.368 0.678 0.989
Cd 0.368 0.989 0.678
Cd 0.555 0.012 0.012
Cd 0.657 0.210 0.657
Cd 0.657 0.657 0.210
Cd 0.678 0.368 0.989
Cd 0.678 0.989 0.368
Cd 0.765 0.765 0.765
Cd 0.903 0.302 0.302
Cd 0.989 0.368 0.678
Cd 0.989 0.678 0.368
Ga 0.578 0.578 0.578


# 4
A relaxed Pm3Cd4Ga2 crystal. Source: Alexandria, functional PBE-GGA.

Cell: 6.056 6.056 9.136 Å, 113.77 113.77 47.16°
Sites, in units of the cell vectors:
Pm 0.000 0.000 0.000
Pm 0.334 0.334 0.332
Pm 0.666 0.666 0.668
Cd 0.071 0.071 0.400
Cd 0.294 0.294 0.956
Cd 0.706 0.706 0.044
Cd 0.929 0.929 0.600
Ga 0.393 0.393 0.726
Ga 0.607 0.607 0.274


# 5
A relaxed Pm3Cd2Ga2 crystal. Source: Alexandria, functional PBE-GGA.

Cell: 11.387 11.387 3.753 Å, 90.00 90.00 158.33°
Sites, in units of the cell vectors:
Pm 0.000 0.000 0.000
Pm 0.166 0.834 0.000
Pm 0.834 0.166 0.000
Cd 0.419 0.581 0.500
Cd 0.581 0.419 0.500
Ga 0.282 0.718 0.500
Ga 0.718 0.282 0.500


# 6
A relaxed Pm4CdGa3 crystal. Source: Alexandria, functional PBE-GGA.

Cell: 5.246 5.246 7.448 Å, 90.00 90.00 90.00°
Sites, in units of the cell vectors:
Pm 0.000 0.500 0.244
Pm 0.000 0.500 0.756
Pm 0.500 0.000 0.244
Pm 0.500 0.000 0.756
Cd 0.000 0.000 0.500
Ga 0.000 0.000 0.000
Ga 0.500 0.500 0.000
Ga 0.500 0.500 0.500


How do the records compare in formation energy? In the order shown, they have -0.239, -0.370, -0.141, -0.425, -0.461, -0.501 eV/atom.
How do the records compare in total magnetic moment? In the order shown, they have 0.0, 0.0, 0.0, 0.0, 0.3, 0.0 μB per formula unit.
How do the records compare in density? In the order shown, they have 7.2, 7.1, 8.2, 7.7, 7.4, 7.3 g/cm3.